Entry 1:
CoAs2Au: relaxed, PBEsol.

a b c (Å): 5.965 5.965 5.965
angles (deg): 152.73 136.88 51.77
Atoms (fractional coordinates):
Co: 0.000 0.000 0.000
As: 0.176 0.676 0.500
As: 0.824 0.324 0.500
Au: 0.500 0.500 0.000

Values from the calculation:
As for the energy of formation: 0.068 eV per atom. For the density of states at the Fermi level, the calculation gives 2.51 states/eV/f.u. The calculation puts the magnetization at 0.017 μB/atom. For the calculated volume, the calculation gives 66 Å³ per cell. As for the symmetry: No. 71.

Entry 2:
NiSbSe2: relaxed, PBEsol.

a b c (Å): 3.663 3.663 7.251
angles (deg): 104.51 104.51 60.18
Atoms (fractional coordinates):
Ni: 0.000 0.000 0.000
Sb: 0.744 0.744 0.233
Se: 0.288 0.288 0.863
Se: 0.496 0.496 0.493

Values from the calculation:
For the density of states at the Fermi level, the calculation gives 2.58 states/eV/f.u. The calculation puts the magnetization at 0.000 μB/atom. For the calculated volume, the calculation gives 81 Å³ per cell. As for the symmetry: No. 8. The raw formation energy is -16 kJ/mol of atoms.

Entry 3:
CuGePd3: relaxed, PBEsol.

a b c (Å): 4.487 4.487 4.487
angles (deg): 90.00 90.00 90.00
Atoms (fractional coordinates):
Cu: 0.000 0.000 0.000
Ge: 0.500 0.500 0.500
Pd: 0.000 0.000 0.500
Pd: 0.000 0.500 0.000
Pd: 0.500 0.000 0.000

Values from the calculation:
As for the energy of formation: 0.754 eV per atom. For the density of states at the Fermi level, the calculation gives 6.02 states/eV/f.u. The calculation puts the magnetization at 0.000 μB/atom. For the calculated volume, the calculation gives 90 Å³ per cell. As for the symmetry: No. 221.

Entry 4:
AgMoPRh2: relaxed, PBEsol.

a b c (Å): 4.300 4.300 4.423
angles (deg): 90.00 90.00 90.00
Atoms (fractional coordinates):
Ag: 0.000 0.000 0.000
Mo: 0.500 0.500 0.000
P: 0.500 0.500 0.500
Rh: 0.000 0.500 0.500
Rh: 0.500 0.000 0.500

Values from the calculation:
As for the energy of formation: 0.344 eV per atom. For the density of states at the Fermi level, the calculation gives 4.69 states/eV/f.u. The calculation puts the magnetization at 0.000 μB/atom. For the calculated volume, the calculation gives 82 Å³ per cell. As for the symmetry: No. 123.

Entry 5:
Y2AlTeAs: relaxed, PBEsol.

a b c (Å): 5.583 5.583 5.003
angles (deg): 90.00 90.00 90.00
Atoms (fractional coordinates):
Y: 0.000 0.500 0.000
Y: 0.500 0.000 0.000
Al: 0.000 0.000 0.500
Te: 0.000 0.000 0.000
As: 0.500 0.500 0.500

Values from the calculation:
For the density of states at the Fermi level, the calculation gives 5.05 states/eV/f.u. The calculation puts the magnetization at 0.000 μB/atom. For the calculated volume, the calculation gives 156 Å³ per cell. As for the symmetry: No. 123. The raw formation energy is 23 kJ/mol of atoms.

Entry 6:
Re4Ag: relaxed, PBEsol.

a b c (Å): 4.754 4.754 4.754
angles (deg): 100.04 100.04 130.64
Atoms (fractional coordinates):
Re: 0.084 0.300 0.385
Re: 0.300 0.916 0.216
Re: 0.700 0.084 0.784
Re: 0.916 0.700 0.615
Ag: 0.500 0.500 0.000

Values from the calculation:
As for the energy of formation: 0.356 eV per atom. For the density of states at the Fermi level, the calculation gives 3.83 states/eV/f.u. The calculation puts the magnetization at 0.000 μB/atom. For the calculated volume, the calculation gives 74 Å³ per cell. As for the symmetry: No. 87.

The calculation returns the following ρ values, one per record and in order: 10.2; 7.0; 8.4; 8.9; 4.3; 19.1 g/cm3.